[1]
Na2MgTeH after structural relaxation. Source: Alexandria, functional PBE.

abc: 4.759 4.759 4.673
angles: 90.00 90.00 90.00
Element x y z (fractional)
Na 0.000 0.500 0.000
Na 0.500 0.000 0.000
Mg 0.000 0.000 0.500
Te 0.500 0.500 0.500
H 0.000 0.000 0.000

Results
- Raw total energy: -12.59 eV per cell
- Theoretical density: 3.12 g/cm3
- Density of states at the Fermi level: 2.2 states/eV per cell
- Magnetic moment: 0.0 μB/f.u.
- Space-group type: P4/mmm, No. 123

=====

[2]
Tm4Al16Co3 after structural relaxation. Source: Alexandria, functional PBE.

abc: 5.988 5.988 11.103
angles: 90.00 90.00 90.00
Element x y z (fractional)
Tm 0.000 0.500 0.193
Tm 0.000 0.500 0.807
Tm 0.500 0.000 0.193
Tm 0.500 0.000 0.807
Al 0.000 0.000 0.193
Al 0.000 0.000 0.807
Al 0.224 0.224 0.000
Al 0.224 0.776 0.000
Al 0.251 0.251 0.384
Al 0.251 0.251 0.616
Al 0.251 0.749 0.384
Al 0.251 0.749 0.616
Al 0.500 0.500 0.214
Al 0.500 0.500 0.786
Al 0.749 0.251 0.384
Al 0.749 0.251 0.616
Al 0.749 0.749 0.384
Al 0.749 0.749 0.616
Al 0.776 0.224 0.000
Al 0.776 0.776 0.000
Co 0.000 0.500 0.500
Co 0.500 0.000 0.500
Co 0.500 0.500 0.000

Results
- Formation energy from the elements: -0.476 eV/atom
- Theoretical density: 5.36 g/cm3
- Density of states at the Fermi level: 3.8 states/eV per cell
- Magnetic moment: 0.0 μB/f.u.
- Space-group type: P4/mmm, No. 123

=====

[3]
CaHo3S6 after structural relaxation. Source: Alexandria, functional PBE.

abc: 11.004 3.962 11.383
angles: 90.00 108.04 90.00
Element x y z (fractional)
Ca 0.047 0.250 0.194
Ca 0.953 0.750 0.806
Ho 0.160 0.250 0.585
Ho 0.313 0.750 0.999
Ho 0.438 0.250 0.332
Ho 0.562 0.750 0.668
Ho 0.687 0.250 0.001
Ho 0.840 0.750 0.415
S 0.085 0.750 0.410
S 0.119 0.250 0.958
S 0.204 0.750 0.750
S 0.265 0.750 0.231
S 0.396 0.250 0.559
S 0.475 0.250 0.110
S 0.525 0.750 0.890
S 0.604 0.750 0.441
S 0.735 0.250 0.769
S 0.796 0.250 0.250
S 0.881 0.750 0.042
S 0.915 0.250 0.590

Results
- Theoretical density: 5.12 g/cm3
- Density of states at the Fermi level: 15.6 states/eV per cell
- Magnetic moment: 0.0 μB/f.u.
- E_form (uncorrected): -1.88 eV/atom
- Space-group type: P2_1/m, No. 11

=====

[4]
MgZr2NbH after structural relaxation. Source: Alexandria, functional PBE.

abc: 4.583 4.583 4.091
angles: 90.00 90.00 90.00
Element x y z (fractional)
Mg 0.000 0.000 0.000
Zr 0.000 0.500 0.500
Zr 0.500 0.000 0.500
Nb 0.500 0.500 0.000
H 0.500 0.500 0.500

Results
- Theoretical density: 5.81 g/cm3
- Density of states at the Fermi level: 5.5 states/eV per cell
- Magnetic moment: 0.0 μB/f.u.
- Space-group type: P4/mmm, No. 123
- Distance to the lowest polymorph of the same formula: 0.000 eV/atom